No. 1
Material: PtC2
Method: DFT, GGA-PBE
State: optimized geometry

The formation energy comes out at 0.95 eV per atom. The excess energy over the best structure of this formula in the dataset comes out at 627 meV per atom.

The space group is Pnnm (No. 58) and the conventional cell measures 4.0730, 5.0477 and 2.9916 Å, with angles of 90.00, 90.00 and 90.00 degrees. Symmetry generates all atoms from Pt at (0.0000, 0.0000, 0.0000) and C at (0.1267, 0.4101, 0.0000).


No. 2
Material: CsKTe2As
Method: DFT, GGA-PBE
State: optimized geometry

The value obtained for the formation energy from raw total energies is -10.10 kcal/mol of atoms.

The space group is Cmme (No. 67) and the conventional cell measures 7.4289, 14.9736 and 7.1190 Å, with angles of 90.00, 90.00 and 90.00 degrees. Symmetry generates all atoms from Cs at (0.0000, 0.2500, 0.2473), K at (0.2500, 0.0000, 0.0000), Te at (0.0000, 0.1498, 0.7323) and As at (0.0000, 0.0000, 0.5000).


No. 3
Material: KTeCl
Method: DFT, GGA-PBE
State: optimized geometry

The value obtained for the formation energy from raw total energies is -12.33 kcal/mol of atoms. The excess energy over the best structure of this formula in the dataset comes out at 662 meV per atom.

The space group is P3m1 (No. 156) and the conventional cell measures 3.8061, 3.8061 and 7.7127 Å, with angles of 90.00, 90.00 and 120.00 degrees. Symmetry generates all atoms from K at (0.0000, 0.0000, 0.0000), Te at (0.6667, 0.3333, 0.4003) and Cl at (0.3333, 0.6667, 0.7549).


No. 4
Material: TmZrOsPd
Method: DFT, GGA-PBE
State: optimized geometry

The formation energy comes out at -0.60 eV per atom.

The space group is F-43m (No. 216) and the conventional cell measures 6.7178, 6.7178 and 6.7178 Å, with angles of 90.00, 90.00 and 90.00 degrees. Symmetry generates all atoms from Tm at (0.0000, 0.0000, 0.0000), Zr at (0.0000, 0.0000, 0.5000), Os at (0.2500, 0.2500, 0.7500) and Pd at (0.2500, 0.2500, 0.2500).


Number 1: V 61.5 Å³/cell, energy -7.215 eV/atom. Number 2: V 791.9 Å³/cell, energy -3.015 eV/atom. Number 3: V 96.8 Å³/cell, energy -2.563 eV/atom. Number 4: V 303.2 Å³/cell, energy -7.957 eV/atom.